A geometry-optimized CoTcSe2Br structure, computed with PBE.

```
CoTcSe2Br
1.0
4.699 0.000 0.000
0.000 4.699 0.000
0.000 0.000 4.882
Co Se Tc Br
1 2 1 1
Direct
0.000 0.000 0.000
0.000 0.500 0.000
0.500 0.000 0.000
0.500 0.500 0.500
0.000 0.000 0.500
```

Energy relative to the lowest polymorph listed for this composition, eV per formula unit: 0.00
SG: No. 123
Energy relative to the elements, uncorrected, eV/atom: 0.785